# AlSe3

Crystalline AlSe3 at its relaxed geometry (PBE, Alexandria).

a = 4.821 Å, b = 4.821 Å, c = 3.425 Å
α = 90.00°, β = 90.00°, γ = 90.00°
Space group P4/mmm (No. 123)
Unique sites:
Al  0.000  0.000  0.000
Se  0.000  0.500  0.500
Se  0.500  0.500  0.000

- ΔE_f (raw): 264 meV/atom

# Tm6InTc

Crystalline Tm6InTc at its relaxed geometry (PBE, Alexandria).

a = 6.737 Å, b = 6.783 Å, c = 7.401 Å
α = 63.19°, β = 63.55°, γ = 60.23°
Space group P-1 (No. 2)
Unique sites:
Tm  0.034  0.419  0.259
Tm  0.214  0.968  0.742
Tm  0.418  0.789  0.258
In  0.500  0.500  0.000
Tc  0.000  0.000  0.500

- Formation energy from the elements: 132 meV per atom

# MgCoCu2

Crystalline MgCoCu2 at its relaxed geometry (PBE, Alexandria).

a = 3.561 Å, b = 3.561 Å, c = 17.863 Å
α = 90.00°, β = 90.00°, γ = 90.00°
Space group I-42d (No. 122)
Unique sites:
Mg  0.000  0.000  0.000
Co  0.000  0.000  0.500
Cu  0.236  0.250  0.625

- Formation energy from the elements: 404 meV per atom

# KScUS4

Crystalline KScUS4 at its relaxed geometry (PBE, Alexandria).

a = 8.020 Å, b = 8.524 Å, c = 11.227 Å
α = 90.00°, β = 90.00°, γ = 90.00°
Space group Imma (No. 74)
Unique sites:
K  0.000  0.250  0.142
Sc  0.250  0.250  0.750
U  0.000  0.000  0.500
S  0.000  0.051  0.737
S  0.212  0.250  0.517

- ΔE_f (raw): -1526 meV/atom

# Ag4GeTe5

Crystalline Ag4GeTe5 at its relaxed geometry (PBE, Alexandria).

a = 9.308 Å, b = 9.308 Å, c = 5.835 Å
α = 90.00°, β = 90.00°, γ = 90.00°
Space group I4/m (No. 87)
Unique sites:
Ag  0.104  0.295  0.000
Ge  0.000  0.000  0.500
Te  0.000  0.000  0.000
Te  0.091  0.301  0.500

- ΔE_f (raw): -13 meV/atom

# TlReP2S

Crystalline TlReP2S at its relaxed geometry (PBE, Alexandria).

a = 4.889 Å, b = 4.889 Å, c = 4.895 Å
α = 90.00°, β = 90.00°, γ = 90.00°
Space group P4/mmm (No. 123)
Unique sites:
Tl  0.000  0.000  0.000
Re  0.500  0.500  0.500
P  0.000  0.500  0.000
S  0.000  0.000  0.500

- ΔE_f (raw): 2384 meV/atom

# Zr2Fe2Tc

Crystalline Zr2Fe2Tc at its relaxed geometry (PBE, Alexandria).

a = 6.280 Å, b = 6.280 Å, c = 4.158 Å
α = 90.00°, β = 90.00°, γ = 90.00°
Space group P4/mbm (No. 127)
Unique sites:
Zr  0.181  0.319  0.000
Fe  0.125  0.625  0.500
Tc  0.000  0.000  0.500

- Formation energy from the elements: -65 meV per atom

# PmY2Ru2

Crystalline PmY2Ru2 at its relaxed geometry (PBE, Alexandria).

a = 5.397 Å, b = 4.360 Å, c = 11.060 Å
α = 90.00°, β = 96.95°, γ = 90.00°
Space group P2_1/m (No. 11)
Unique sites:
Pm  0.060  0.250  0.266
Y  0.252  0.250  0.974
Y  0.431  0.250  0.624
Ru  0.090  0.750  0.486
Ru  0.270  0.750  0.140

- Formation energy from the elements: -158 meV per atom

# Ag4S2F3

Crystalline Ag4S2F3 at its relaxed geometry (PBE, Alexandria).

a = 14.843 Å, b = 5.643 Å, c = 7.280 Å
α = 90.00°, β = 95.21°, γ = 90.00°
Space group C2/c (No. 15)
Unique sites:
Ag  0.060  0.220  0.448
Ag  0.159  0.283  0.855
S  0.216  0.119  0.565
F  0.000  0.130  0.750
F  0.086  0.366  0.119

- ΔE_f (raw): -675 meV/atom

# La2YRu

Crystalline La2YRu at its relaxed geometry (PBE, Alexandria).

a = 6.324 Å, b = 10.547 Å, c = 3.493 Å
α = 90.00°, β = 116.01°, γ = 90.00°
Space group C2/m (No. 12)
Unique sites:
La  0.250  0.250  0.000
Y  0.000  0.000  0.500
Ru  0.000  0.500  0.500

- Formation energy from the elements: 266 meV per atom

# TmBeC

Crystalline TmBeC at its relaxed geometry (PBE, Alexandria).

a = 5.285 Å, b = 3.249 Å, c = 9.468 Å
α = 90.00°, β = 90.00°, γ = 90.00°
Space group Pnma (No. 62)
Unique sites:
Tm  0.109  0.250  0.140
Be  0.078  0.750  0.427
C  0.226  0.250  0.480

- Formation energy from the elements: -167 meV per atom

# LiTi2Zn2P2O10

Crystalline LiTi2Zn2P2O10 at its relaxed geometry (PBE, Alexandria).

a = 5.496 Å, b = 5.707 Å, c = 7.533 Å
α = 109.14°, β = 109.06°, γ = 92.72°
Space group P1 (No. 1)
Unique sites:
Li  0.000  0.000  0.000
Ti  0.813  0.664  0.623
Ti  0.840  0.646  0.138
Zn  0.148  0.376  0.835
Zn  0.567  0.012  0.363
P  0.184  0.282  0.383
P  0.478  0.047  0.899
O  0.044  0.362  0.537
O  0.071  0.374  0.207
O  0.156  0.987  0.287
O  0.170  0.982  0.797
O  0.489  0.362  0.489
O  0.516  0.344  0.980
O  0.579  0.944  0.072
O  0.628  0.958  0.756
O  0.751  0.746  0.383
O  0.924  0.614  0.892

- ΔE_f (raw): -2091 meV/atom

Number 1: volume 79.6 Å³ per cell, VASP energy -3.285 eV per atom. Number 2: volume 251.1 Å³ per cell, VASP energy -4.859 eV per atom. Number 3: volume 226.6 Å³ per cell, VASP energy -3.819 eV per atom. Number 4: volume 767.6 Å³ per cell, VASP energy -6.559 eV per atom. Number 5: volume 505.5 Å³ per cell, VASP energy -3.187 eV per atom. Number 6: volume 117.0 Å³ per cell, VASP energy -3.568 eV per atom. Number 7: volume 164.0 Å³ per cell, VASP energy -8.942 eV per atom. Number 8: volume 258.3 Å³ per cell, VASP energy -7.404 eV per atom. Number 9: volume 607.2 Å³ per cell, VASP energy -3.483 eV per atom. Number 10: volume 209.4 Å³ per cell, VASP energy -6.133 eV per atom. Number 11: volume 162.6 Å³ per cell, VASP energy -5.974 eV per atom. Number 12: volume 207.8 Å³ per cell, VASP energy -6.836 eV per atom.